[1]
## RbLi2Br3 (PBE)

Data for a geometry-optimized RbLi2Br3 structure.

Calculated values
* spin magnetization: 0.000 μB per cell
* total DFT energy (no corrections): -38.7 eV per cell
* uncorrected formation energy: -36.61 kcal/mol of atoms

```
RbLi2Br3
1.0
4.975 -6.350 0.000
4.975 6.350 0.000
0.000 0.000 5.991
Rb Li Br
2 4 6
direct
0.192 0.808 0.750 Rb
0.808 0.192 0.250 Rb
0.339 0.339 0.000 Li
0.339 0.339 0.500 Li
0.661 0.661 0.000 Li
0.661 0.661 0.500 Li
0.093 0.329 0.750 Br
0.329 0.093 0.250 Br
0.396 0.604 0.250 Br
0.604 0.396 0.750 Br
0.671 0.907 0.750 Br
0.907 0.671 0.250 Br
```

=====

[2]
## Rb2LiBr3 (PBE)

Data for a geometry-optimized Rb2LiBr3 structure.

Calculated values
* spin magnetization: 0.002 μB per cell
* total DFT energy (no corrections): -37.1 eV per cell
* uncorrected formation energy: -37.18 kcal/mol of atoms

```
Rb2LiBr3
1.0
7.314 -3.511 0.000
7.314 3.511 0.000
-2.761 0.000 8.546
Rb Li Br
4 2 6
direct
0.173 0.175 0.087 Rb
0.175 0.173 0.587 Rb
0.825 0.827 0.413 Rb
0.827 0.825 0.913 Rb
0.431 0.569 0.250 Li
0.569 0.431 0.750 Li
0.072 0.928 0.250 Br
0.363 0.365 0.432 Br
0.365 0.363 0.932 Br
0.635 0.637 0.068 Br
0.637 0.635 0.568 Br
0.928 0.072 0.750 Br
```

=====

[3]
## Rb4LiBr2 (PBE)

Data for a geometry-optimized Rb4LiBr2 structure.

Calculated values
* spin magnetization: 0.000 μB per cell
* total DFT energy (no corrections): -27.6 eV per cell
* uncorrected formation energy: -15.35 kcal/mol of atoms

```
Rb4LiBr2
1.0
6.819 0.000 0.000
0.000 6.819 0.000
0.000 0.000 18.324
Rb Li Br
8 2 4
direct
0.000 0.000 0.214 Rb
0.000 0.000 0.786 Rb
0.000 0.500 0.000 Rb
0.000 0.500 0.500 Rb
0.500 0.000 0.000 Rb
0.500 0.000 0.500 Rb
0.500 0.500 0.286 Rb
0.500 0.500 0.714 Rb
0.000 0.000 0.000 Li
0.500 0.500 0.500 Li
0.000 0.000 0.392 Br
0.000 0.000 0.608 Br
0.500 0.500 0.108 Br
0.500 0.500 0.892 Br
```

=====

[4]
## Rb2LiBr (PBE)

Data for a geometry-optimized Rb2LiBr structure.

Calculated values
* spin magnetization: 0.000 μB per cell
* total DFT energy (no corrections): -8.3 eV per cell
* uncorrected formation energy: -16.16 kcal/mol of atoms

```
Rb2LiBr
1.0
4.300 0.000 0.000
0.000 4.300 0.000
0.000 0.000 9.610
Rb Li Br
2 1 1
direct
0.000 0.000 0.211 Rb
0.000 0.000 0.789 Rb
0.500 0.500 0.500 Li
0.500 0.500 0.000 Br
```